Ga2ReTc | PBE | optimized geometry

E above lowest polymorph = 0 meV per atom
crystal system = trigonal
uncorrected energy = -0.524 Ry/atom
V = 14.904 Å³/atom
ΔH_f (0 K) = 0.09 eV/atom

Lattice parameters (Å, degrees): 2.856 2.856 8.598 80.44 80.44 60.00
Element x y z (fractional)
Ga  0.749  0.749  0.753
Ga  0.251  0.251  0.247
Re  0.500  0.500  0.500
Tc  0.000  0.000  0.000

=====

Ga2Re2Tc | PBE | optimized geometry

crystal system = tetragonal
uncorrected energy = -0.580 Ry/atom
V = 14.834 Å³/atom
ΔH_f (0 K) = 0.37 eV/atom

Lattice parameters (Å, degrees): 6.846 6.846 3.165 90.00 90.00 90.00
Element x y z (fractional)
Re  0.657  0.843  0.500
Re  0.157  0.657  0.500
Re  0.843  0.343  0.500
Ga  0.860  0.640  0.000
Ga  0.360  0.860  0.000
Ga  0.640  0.140  0.000
Re  0.343  0.157  0.500
Tc  0.000  0.000  0.000
Tc  0.500  0.500  0.000
Ga  0.140  0.360  0.000

=====

Ga2ReTc | PBE | optimized geometry

E above lowest polymorph = 68 meV per atom
crystal system = cubic
uncorrected energy = -0.519 Ry/atom
V = 14.496 Å³/atom
ΔH_f (0 K) = 0.16 eV/atom

Lattice parameters (Å, degrees): 4.345 4.345 4.345 60.00 60.00 60.00
Element x y z (fractional)
Tc  0.000  0.000  0.000
Re  0.500  0.500  0.500
Ga  0.750  0.750  0.750
Ga  0.250  0.250  0.250

=====

no.,total magnetic moment (μB/f.u.)
1,0.0
2,0.0
3,0.0